6
Lattice="4.341 0.000 0.000 2.140 5.058 0.000 1.202 0.044 6.811" Properties=species:S:1:pos:R:3 comment="NaPdBr | Alexandria via LeMat-Bulk | PBE-GGA | relaxed" e_above_lowest_polymorph_mev_per_atom=58 raw_formation_energy_kj_per_mol_atoms=-53 spacegroup="No. 1" pbc="T T T"
Na 0.000 0.000 0.000
Na 2.063 3.106 3.622
Pd 2.219 1.450 1.219
Pd 4.188 3.509 1.297
Br 2.090 0.048 3.271
Br 4.340 2.541 5.928